one) Below is a relaxed structure of MoCl5, with properties calculated at the GGA-PBE level.

Cell and atoms, written as POSCAR:
```
MoCl5
1.0
-9.218 1.557 7.065
2.504 -16.305 6.859
3.677 2.364 4.276
Cl Mo
40 8
Direct
0.003 0.846 0.801 Cl
0.003 0.654 0.801 Cl
0.011 0.942 0.264 Cl
0.267 0.250 0.425 Cl
0.997 0.346 0.199 Cl
0.245 0.846 0.382 Cl
0.239 0.941 0.915 Cl
0.761 0.059 0.085 Cl
0.497 0.154 0.301 Cl
0.983 0.250 0.744 Cl
0.733 0.750 0.575 Cl
0.989 0.442 0.736 Cl
0.017 0.750 0.256 Cl
0.755 0.154 0.618 Cl
0.489 0.058 0.764 Cl
0.767 0.250 0.075 Cl
0.503 0.654 0.699 Cl
0.761 0.441 0.085 Cl
0.255 0.154 0.882 Cl
0.255 0.346 0.882 Cl
0.261 0.059 0.415 Cl
0.739 0.559 0.585 Cl
0.011 0.558 0.264 Cl
0.503 0.846 0.699 Cl
0.745 0.846 0.118 Cl
0.239 0.559 0.915 Cl
0.245 0.654 0.382 Cl
0.489 0.442 0.764 Cl
0.511 0.942 0.236 Cl
0.989 0.058 0.736 Cl
0.483 0.250 0.756 Cl
0.497 0.346 0.301 Cl
0.511 0.558 0.236 Cl
0.997 0.154 0.199 Cl
0.517 0.750 0.244 Cl
0.233 0.750 0.925 Cl
0.739 0.941 0.585 Cl
0.745 0.654 0.118 Cl
0.755 0.346 0.618 Cl
0.261 0.441 0.415 Cl
0.625 0.859 0.410 Mo
0.875 0.141 0.910 Mo
0.875 0.359 0.910 Mo
0.625 0.641 0.410 Mo
0.375 0.141 0.590 Mo
0.125 0.641 0.090 Mo
0.125 0.859 0.090 Mo
0.375 0.359 0.590 Mo
```

Summary:
Space-group type: Pnma, No. 62

=====

two) Below is a relaxed structure of MoCl5, with properties calculated at the GGA-PBE level.

Cell and atoms, written as POSCAR:
```
MoCl5
1.0
7.209 0.000 0.000
0.000 7.881 0.000
0.000 0.000 6.324
Mo Cl
2 10
Direct
0.000 0.500 0.824 Mo
0.500 0.000 0.176 Mo
0.233 0.000 0.356 Cl
0.500 0.294 0.173 Cl
0.000 0.500 0.177 Cl
0.767 0.000 0.356 Cl
0.733 0.500 0.644 Cl
0.000 0.206 0.827 Cl
0.500 0.706 0.173 Cl
0.500 0.000 0.823 Cl
0.000 0.794 0.827 Cl
0.267 0.500 0.644 Cl
```

Summary:
Space-group type: Pmmn, No. 59

=====

Which structure is the least stable? The one labeled two).

=====

one) Below is a relaxed structure of MoSe3SCl, with properties calculated at the GGA-PBE level.

Cell and atoms, written as POSCAR:
```
MoSe3SCl
1.0
6.341 0.000 0.000
-1.182 7.896 0.000
-1.980 -4.272 6.468
Mo Se S Cl
2 6 2 2
Direct
0.223 0.000 0.000 Mo
0.777 0.000 0.000 Mo
0.393 0.918 0.704 Se
0.866 0.683 0.762 Se
0.607 0.082 0.296 Se
0.134 0.317 0.238 Se
0.985 0.163 0.855 Se
0.015 0.837 0.145 Se
0.461 0.778 0.010 S
0.539 0.222 0.990 S
0.743 0.625 0.406 Cl
0.257 0.375 0.594 Cl
```

Summary:
Space-group type: P-1, No. 2

=====

two) Below is a relaxed structure of MoSe3SCl, with properties calculated at the GGA-PBE level.

Cell and atoms, written as POSCAR:
```
MoSe3SCl
1.0
6.395 0.000 0.000
3.194 7.112 0.000
1.973 3.315 6.948
Se S Mo Cl
6 2 2 2
Direct
0.549 0.752 0.244 Se
0.987 0.835 0.306 Se
0.451 0.248 0.756 Se
0.614 0.897 0.797 Se
0.013 0.165 0.694 Se
0.386 0.103 0.203 Se
0.874 0.306 0.913 S
0.126 0.694 0.087 S
0.780 0.000 0.000 Mo
0.220 0.000 0.000 Mo
0.259 0.628 0.766 Cl
0.741 0.372 0.234 Cl
```

Summary:
Space-group type: P-1, No. 2

=====

three) Below is a relaxed structure of MoSe3SCl, with properties calculated at the GGA-PBE level.

Cell and atoms, written as POSCAR:
```
MoSe3SCl
1.0
-3.080 1.486 -5.348
-0.663 -6.885 -3.890
-7.250 -3.506 -0.564
Se S Cl Mo
6 2 2 2
Direct
0.868 0.919 0.315 Se
0.455 0.754 0.242 Se
0.610 0.785 0.914 Se
0.390 0.215 0.086 Se
0.545 0.246 0.758 Se
0.132 0.081 0.685 Se
0.014 0.715 0.152 S
0.986 0.285 0.848 S
0.740 0.222 0.379 Cl
0.260 0.778 0.621 Cl
0.780 0.000 0.000 Mo
0.220 0.000 0.000 Mo
```

Summary:
Space-group type: P-1, No. 2

=====

Which structure is the least stable? The one labeled two).

=====

one) Below is a relaxed structure of MoSe2S2Cl, with properties calculated at the GGA-PBE level.

Cell and atoms, written as POSCAR:
```
MoSe2S2Cl
1.0
6.275 0.000 0.000
1.966 7.595 0.000
3.136 3.106 6.651
Mo Cl Se S
2 2 4 4
Direct
0.224 0.000 0.000 Mo
0.776 0.000 0.000 Mo
0.262 0.774 0.620 Cl
0.738 0.226 0.380 Cl
0.134 0.078 0.684 Se
0.543 0.250 0.758 Se
0.457 0.750 0.242 Se
0.866 0.922 0.316 Se
0.602 0.794 0.925 S
0.984 0.286 0.853 S
0.398 0.206 0.075 S
0.016 0.714 0.147 S
```

Summary:
Space-group type: P-1, No. 2

=====

two) Below is a relaxed structure of MoSe2S2Cl, with properties calculated at the GGA-PBE level.

Cell and atoms, written as POSCAR:
```
MoSe2S2Cl
1.0
6.314 0.000 0.000
-3.143 6.965 0.000
-1.976 -3.113 6.842
S Se Mo Cl
4 4 2 2
Direct
0.819 0.690 0.914 S
0.513 0.903 0.197 S
0.487 0.097 0.803 S
0.181 0.310 0.086 S
0.298 0.753 0.745 Se
0.702 0.247 0.255 Se
0.179 0.163 0.310 Se
0.821 0.837 0.690 Se
0.224 0.000 0.999 Mo
0.776 0.000 0.001 Mo
0.106 0.368 0.750 Cl
0.894 0.632 0.250 Cl
```

Summary:
Space-group type: P-1, No. 2

=====

three) Below is a relaxed structure of MoSe2S2Cl, with properties calculated at the GGA-PBE level.

Cell and atoms, written as POSCAR:
```
MoSe2S2Cl
1.0
-5.431 -2.948 -1.202
2.529 -7.138 -0.394
-2.139 -4.994 5.488
Se S Cl Mo
4 4 2 2
Direct
0.390 0.789 0.306 Se
0.008 0.320 0.858 Se
0.992 0.680 0.142 Se
0.610 0.211 0.694 Se
0.543 0.757 0.010 S
0.872 0.096 0.220 S
0.457 0.243 0.990 S
0.128 0.904 0.780 S
0.748 0.773 0.592 Cl
0.252 0.227 0.408 Cl
0.778 0.001 0.999 Mo
0.222 0.999 0.001 Mo
```

Summary:
Space-group type: P-1, No. 2

=====

Which structure is the least stable? The one labeled two).

=====

one) Below is a relaxed structure of MoSeS3Cl, with properties calculated at the GGA-PBE level.

Cell and atoms, written as POSCAR:
```
MoSeS3Cl
1.0
-2.157 0.455 -5.821
-2.678 -6.924 1.678
-2.901 6.129 3.650
S Se Cl Mo
6 2 2 2
Direct
0.991 0.172 0.872 S
0.127 0.313 0.219 S
0.009 0.828 0.128 S
0.461 0.768 0.012 S
0.539 0.232 0.988 S
0.873 0.687 0.781 S
0.613 0.089 0.310 Se
0.387 0.911 0.690 Se
0.744 0.627 0.410 Cl
0.256 0.373 0.590 Cl
0.779 0.000 0.001 Mo
0.221 0.000 0.999 Mo
```

Summary:
Space-group type: P-1, No. 2

=====

two) Below is a relaxed structure of MoSeS3Cl, with properties calculated at the GGA-PBE level.

Cell and atoms, written as POSCAR:
```
MoSeS3Cl
1.0
6.187 0.000 0.000
-1.964 7.478 0.000
-1.129 -4.168 6.608
Mo Se S Cl
2 2 6 2
Direct
0.225 0.000 0.000 Mo
0.775 0.000 0.000 Mo
0.866 0.761 0.682 Se
0.134 0.239 0.318 Se
0.983 0.859 0.153 S
0.600 0.280 0.063 S
0.535 0.980 0.224 S
0.017 0.141 0.847 S
0.465 0.020 0.776 S
0.400 0.720 0.937 S
0.740 0.402 0.622 Cl
0.260 0.598 0.378 Cl
```

Summary:
Space-group type: P-1, No. 2

=====

three) Below is a relaxed structure of MoSeS3Cl, with properties calculated at the GGA-PBE level.

Cell and atoms, written as POSCAR:
```
MoSeS3Cl
1.0
-4.948 -1.666 -3.402
0.613 -5.438 5.347
-0.976 6.515 3.919
S Cl Mo Se
6 2 2 2
Direct
0.181 0.087 0.308 S
0.517 0.205 0.907 S
0.483 0.795 0.093 S
0.819 0.913 0.692 S
0.172 0.290 0.160 S
0.828 0.710 0.840 S
0.888 0.242 0.623 Cl
0.112 0.758 0.377 Cl
0.225 0.999 0.000 Mo
0.775 0.001 0.000 Mo
0.296 0.742 0.752 Se
0.704 0.258 0.248 Se
```

Summary:
Space-group type: P-1, No. 2

=====

Which structure is the least stable? The one labeled three).

=====

one) Below is a relaxed structure of PrSmNCl, with properties calculated at the GGA-PBE level.

Cell and atoms, written as POSCAR:
```
PrSmNCl
1.0
-3.237 -1.256 1.153
0.787 0.022 -3.573
5.413 -12.928 1.113
Cl Pr Sm N
2 2 2 2
Direct
0.667 0.333 0.242 Cl
0.333 0.667 0.758 Cl
0.333 0.667 0.403 Pr
0.667 0.333 0.597 Pr
0.667 0.333 0.908 Sm
0.333 0.667 0.092 Sm
0.000 0.000 0.500 N
0.000 0.000 0.000 N
```

Summary:
Space-group type: P-3m1, No. 164

=====

two) Below is a relaxed structure of PrSmNCl, with properties calculated at the GGA-PBE level.

Cell and atoms, written as POSCAR:
```
PrSmNCl
1.0
-2.180 -1.189 -2.694
-0.856 -0.700 3.493
-7.308 12.002 0.615
Cl Sm Pr N
2 2 2 2
Direct
0.000 0.000 0.000 Cl
0.333 0.667 0.500 Cl
0.000 0.000 0.346 Sm
0.000 0.000 0.654 Sm
0.333 0.667 0.842 Pr
0.333 0.667 0.158 Pr
0.667 0.333 0.262 N
0.667 0.333 0.738 N
```

Summary:
Space-group type: P-6m2, No. 187

=====

Which structure is the least stable? The one labeled one).

=====

one) Below is a relaxed structure of TbSmNCl3, with properties calculated at the GGA-PBE level.

Cell and atoms, written as POSCAR:
```
TbSmNCl3
1.0
-5.983 5.695 -1.031
-6.851 4.067 2.410
9.565 2.953 3.811
N Cl Sm Tb
2 6 2 2
Direct
0.422 0.422 0.341 N
0.578 0.578 0.659 N
0.955 0.955 0.759 Cl
0.335 0.335 0.988 Cl
0.045 0.045 0.241 Cl
0.665 0.665 0.012 Cl
0.774 0.774 0.382 Cl
0.226 0.226 0.618 Cl
0.587 0.587 0.452 Sm
0.413 0.413 0.548 Sm
0.138 0.138 0.793 Tb
0.862 0.862 0.207 Tb
```

Summary:
Space-group type: C2/m, No. 12

=====

two) Below is a relaxed structure of TbSmNCl3, with properties calculated at the GGA-PBE level.

Cell and atoms, written as POSCAR:
```
TbSmNCl3
1.0
8.148 -1.957 0.000
8.148 1.957 0.000
-5.491 0.000 9.284
Cl N Sm Tb
6 2 2 2
Direct
0.220 0.220 0.111 Cl
0.950 0.950 0.247 Cl
0.050 0.050 0.753 Cl
0.336 0.336 0.487 Cl
0.780 0.780 0.889 Cl
0.664 0.664 0.513 Cl
0.425 0.425 0.846 N
0.575 0.575 0.154 N
0.862 0.862 0.708 Sm
0.138 0.138 0.292 Sm
0.585 0.585 0.954 Tb
0.415 0.415 0.046 Tb
```

Summary:
Space-group type: C2/m, No. 12

=====

Which structure is the least stable? The one labeled one).